This record from the Alexandria database describes a geometry-optimized MnHgClF2 structure. The functional is PBE with a Hubbard U.

Computed properties:
Spin magnetization = 4.9 μB per formula unit
E_tot = -4.27 eV/atom
V = 19.1 Å³/atom

Unit cell a=4.1264 b=4.1264 c=5.5989 alpha=90.00 beta=90.00 gamma=90.00
With the nearest neighbours (Å) after each atom.
Fractional positions:
Mn 0.0000 0.0000 0.0000  4 F 2.06
Hg 0.5000 0.5000 0.5000  4 Cl 2.92
Cl 0.0000 0.0000 0.5000  2 Mn 2.80, 4 Hg 2.92
F 0.0000 0.5000 0.0000  2 Mn 2.06
F 0.5000 0.0000 0.0000  2 Mn 2.06